Compound: ZrNiSb2Te
Source: the Alexandria database
Functional: PBE-GGA
Structure: relaxed

Cell lengths 5.5214, 5.5214, 5.4864 Å; angles 90.00, 90.00, 90.00 degrees
Closest atoms and distances in Å follow each position.
Fractional positions:
Zr (0.0000, 0.0000, 0.0000)  2 Te 2.74, 4 Sb 2.76
Ni (0.5000, 0.5000, 0.5000)  8 Sb 3.89, 4 Te 3.90
Sb (0.0000, 0.5000, 0.0000)  2 Zr 2.76
Sb (0.5000, 0.0000, 0.0000)  2 Zr 2.76
Te (0.0000, 0.0000, 0.5000)  2 Zr 2.74

Computed properties:
ΔE_f (raw): 736 meV/atom
Excess energy over the best structure of this formula in the dataset: 464.0 meV/atom

---

Compound: CsBeZn2P
Source: the Alexandria database
Functional: PBE-GGA
Structure: relaxed

Cell lengths 5.9648, 5.9648, 3.9381 Å; angles 90.00, 90.00, 90.00 degrees
Closest atoms and distances in Å follow each position.
Fractional positions:
Cs (0.0000, 0.0000, 0.0000)  8 Zn 3.57, 2 Cs 3.94
Be (0.5000, 0.5000, 0.0000)  2 P 1.97
Zn (0.0000, 0.5000, 0.5000)  2 P 2.98
Zn (0.5000, 0.0000, 0.5000)  2 P 2.98
P (0.5000, 0.5000, 0.5000)  2 Be 1.97

Computed properties:
ΔH_f (0 K): 0.434 eV/atom

---

Compound: LaSmAgPd
Source: the Alexandria database
Functional: PBE-GGA
Structure: relaxed

Cell lengths 5.2352, 5.2352, 5.2352 Å; angles 60.00, 60.00, 60.00 degrees
Closest atoms and distances in Å follow each position.
Fractional positions:
La (0.0000, 0.0000, 0.0000)  4 Pd 3.21, 4 Ag 3.21
Sm (0.5000, 0.5000, 0.5000)  4 Pd 3.21, 4 Ag 3.21
Ag (0.7500, 0.7500, 0.7500)  4 La 3.21, 4 Sm 3.21
Pd (0.2500, 0.2500, 0.2500)  4 La 3.21, 4 Sm 3.21

Computed properties:
ΔH_f (0 K): -0.497 eV/atom
Excess energy over the best structure of this formula in the dataset: 28.7 meV/atom

---

Compound: Zr2NbPb
Source: the Alexandria database
Functional: PBE-GGA
Structure: relaxed

Cell lengths 9.7663, 9.7663, 9.7663 Å; angles 19.68, 19.68, 19.68 degrees
Closest atoms and distances in Å follow each position.
Fractional positions:
Zr (0.2433, 0.2433, 0.2433)  3 Nb 2.92, 3 Pb 3.23
Zr (0.7567, 0.7567, 0.7567)  3 Nb 2.92, 3 Pb 3.23
Nb (0.5000, 0.5000, 0.5000)  6 Zr 2.92
Pb (0.0000, 0.0000, 0.0000)  6 Zr 3.23, 6 Pb 3.34

Computed properties:
ΔH_f (0 K): 0.095 eV/atom

---

Compound: Li2Cu2Pt
Source: the Alexandria database
Functional: PBE-GGA
Structure: relaxed

Cell lengths 5.0008, 5.0008, 6.9946 Å; angles 109.14, 109.14, 53.91 degrees
Closest atoms and distances in Å follow each position.
Fractional positions:
Li (0.0213, 0.3718, 0.1476)  6 Cu 2.52-2.77, 3 Pt 2.60-2.70, 3 Li 2.66
Li (0.3718, 0.0213, 0.6476)  6 Cu 2.52-2.77, 3 Pt 2.60-2.70, 3 Li 2.66
Li (0.6282, 0.9787, 0.3524)  6 Cu 2.52-2.77, 3 Pt 2.60-2.70, 3 Li 2.66
Li (0.9787, 0.6282, 0.8524)  6 Cu 2.52-2.77, 3 Pt 2.60-2.70, 3 Li 2.66
Cu (0.2191, 0.5897, 0.5550)  6 Li 2.52-2.77, 3 Pt 2.60-2.65, 3 Cu 2.63-2.70
Cu (0.4103, 0.7809, 0.9450)  6 Li 2.52-2.77, 3 Pt 2.60-2.65, 3 Cu 2.63-2.70
Cu (0.5897, 0.2191, 0.0550)  6 Li 2.52-2.77, 3 Pt 2.60-2.65, 3 Cu 2.63-2.70
Cu (0.7809, 0.4103, 0.4450)  6 Li 2.52-2.77, 3 Pt 2.60-2.65, 3 Cu 2.63-2.70
Pt (0.1916, 0.8084, 0.2500)  6 Cu 2.60-2.65, 6 Li 2.60-2.70
Pt (0.8084, 0.1916, 0.7500)  6 Cu 2.60-2.65, 6 Li 2.60-2.70

Computed properties:
ΔH_f (0 K): -0.284 eV/atom
Excess energy over the best structure of this formula in the dataset: 0.0 meV/atom

---

Compound: Cu2Au
Source: the Alexandria database
Functional: PBE-GGA
Structure: relaxed

Cell lengths 11.8308, 11.8308, 11.8308 Å; angles 161.36, 161.36, 26.48 degrees
Closest atoms and distances in Å follow each position.
Fractional positions:
Cu (0.1247, 0.3747, 0.7500)  4 Au 2.65-2.66, 8 Cu 2.67-2.71
Cu (0.2939, 0.5439, 0.7500)  6 Cu 2.67-2.78, 6 Au 2.71-2.81
Cu (0.3747, 0.1247, 0.2500)  4 Au 2.65-2.66, 8 Cu 2.67-2.71
Cu (0.4561, 0.7061, 0.7500)  6 Cu 2.67-2.78, 6 Au 2.71-2.81
Cu (0.5439, 0.2939, 0.2500)  6 Cu 2.67-2.78, 6 Au 2.71-2.81
Cu (0.6253, 0.8753, 0.7500)  4 Au 2.65-2.66, 8 Cu 2.67-2.71
Cu (0.7061, 0.4561, 0.2500)  6 Cu 2.67-2.78, 6 Au 2.71-2.81
Cu (0.8753, 0.6253, 0.2500)  4 Au 2.65-2.66, 8 Cu 2.67-2.71
Au (0.0452, 0.7952, 0.2500)  10 Cu 2.65-2.81, 2 Au 2.83
Au (0.2048, 0.9548, 0.2500)  10 Cu 2.65-2.81, 2 Au 2.83
Au (0.7952, 0.0452, 0.7500)  10 Cu 2.65-2.81, 2 Au 2.83
Au (0.9548, 0.2048, 0.7500)  10 Cu 2.65-2.81, 2 Au 2.83

Computed properties:
ΔH_f (0 K): -0.034 eV/atom
Excess energy over the best structure of this formula in the dataset: 2.8 meV/atom

---

Compound: Pm2ErAg6
Source: the Alexandria database
Functional: PBE-GGA
Structure: relaxed

Cell lengths 8.6315, 8.6315, 5.3493 Å; angles 98.86, 98.86, 143.65 degrees
Closest atoms and distances in Å follow each position.
Fractional positions:
Pm (0.1639, 0.8361, 0.0000)  10 Ag 3.09-3.24
Pm (0.8361, 0.1639, 0.0000)  10 Ag 3.09-3.24
Er (0.0000, 0.0000, 0.5000)  10 Ag 3.07-3.17
Ag (0.1699, 0.4961, 0.6637)  5 Ag 3.07-3.23, 4 Pm 3.09-3.24, 1 Er 3.10
Ag (0.3452, 0.3452, 0.1808)  5 Ag 2.97-3.23, 3 Er 3.07-3.17, 2 Pm 3.14
Ag (0.4961, 0.1699, 0.6637)  5 Ag 3.07-3.23, 4 Pm 3.09-3.24, 1 Er 3.10
Ag (0.5039, 0.8301, 0.3363)  5 Ag 3.07-3.23, 4 Pm 3.09-3.24, 1 Er 3.10
Ag (0.6548, 0.6548, 0.8192)  5 Ag 2.97-3.23, 3 Er 3.07-3.17, 2 Pm 3.14
Ag (0.8301, 0.5039, 0.3363)  5 Ag 3.07-3.23, 4 Pm 3.09-3.24, 1 Er 3.10

Computed properties:
ΔH_f (0 K): -0.222 eV/atom

---

Compound: TePt2Br
Source: the Alexandria database
Functional: PBE-GGA
Structure: relaxed

Cell lengths 5.5131, 5.5131, 5.5131 Å; angles 140.26, 98.58, 94.70 degrees
Closest atoms and distances in Å follow each position.
Fractional positions:
Te (0.0000, 0.0000, 0.0000)  4 Pt 2.59
Pt (0.2392, 0.7392, 0.5000)  2 Te 2.59, 2 Br 2.70
Pt (0.7608, 0.2608, 0.5000)  2 Te 2.59, 2 Br 2.70
Br (0.5000, 0.5000, 0.0000)  4 Pt 2.70

Computed properties:
ΔE_f (raw): 383 meV/atom
Excess energy over the best structure of this formula in the dataset: 599.0 meV/atom

---

Compound: ZrTcSe
Source: the Alexandria database
Functional: PBE-GGA
Structure: relaxed

Cell lengths 4.7392, 3.3307, 7.1252 Å; angles 90.00, 105.38, 90.00 degrees
Closest atoms and distances in Å follow each position.
Fractional positions:
Zr (0.0000, 0.0000, 0.0000)  6 Tc 2.77-2.91, 4 Se 2.93-3.07, 1 Zr 3.08
Zr (0.4935, 0.0000, 0.6245)  5 Se 2.69-3.01, 2 Tc 2.81
Tc (0.1895, 0.5000, 0.3196)  3 Se 2.62-2.77, 4 Zr 2.77-2.81
Tc (0.5011, 0.5000, 0.9912)  3 Se 2.54-2.73
Se (0.0358, 0.5000, 0.6682)  2 Tc 2.73-2.77, 6 Zr 2.82-3.01
Se (0.5898, 0.0000, 0.2695)  4 Tc 2.54-2.62, 1 Zr 2.69

Computed properties:
ΔE_f (raw): -427 meV/atom
Excess energy over the best structure of this formula in the dataset: 120.5 meV/atom

---

Compound: MgSc2AlC
Source: the Alexandria database
Functional: PBE-GGA
Structure: relaxed

Cell lengths 4.5136, 4.5136, 4.3858 Å; angles 90.00, 90.00, 90.00 degrees
Closest atoms and distances in Å follow each position.
Fractional positions:
Mg (0.0000, 0.0000, 0.0000)  2 C 2.19
Sc (0.0000, 0.5000, 0.5000)  2 C 2.26
Sc (0.5000, 0.0000, 0.5000)  2 C 2.26
Al (0.5000, 0.5000, 0.0000)  8 Sc 3.15, 4 Mg 3.19
C (0.0000, 0.0000, 0.5000)  2 Mg 2.19, 4 Sc 2.26

Computed properties:
ΔH_f (0 K): -0.328 eV/atom
Excess energy over the best structure of this formula in the dataset: 0.0 meV/atom

---

Compound: NaGeN2
Source: the Alexandria database
Functional: PBE-GGA
Structure: relaxed

Cell lengths 5.5888, 5.5888, 5.5888 Å; angles 124.46, 124.46, 82.44 degrees
Closest atoms and distances in Å follow each position.
Fractional positions:
Na (0.0000, 0.0000, 0.0000)  4 N 2.45
Na (0.7500, 0.2500, 0.5000)  4 N 2.45
Ge (0.2500, 0.7500, 0.5000)  4 N 1.86
Ge (0.5000, 0.5000, 0.0000)  4 N 1.86
N (0.2181, 0.6250, 0.0931)  2 Ge 1.86
N (0.3750, 0.4681, 0.5931)  2 Ge 1.86
N (0.5319, 0.1250, 0.9069)  2 Ge 1.86
N (0.8750, 0.7819, 0.4069)  2 Ge 1.86

Computed properties:
ΔE_f (raw): 204 meV/atom

---

Compound: BaTl2Cu
Source: the Alexandria database
Functional: PBE-GGA
Structure: relaxed

Cell lengths 3.7187, 3.7187, 8.0808 Å; angles 90.00, 90.00, 90.39 degrees
Closest atoms and distances in Å follow each position.
Fractional positions:
Ba (0.0000, 0.0000, 0.0000)  8 Tl 3.63-3.65, 4 Ba 3.72, 2 Cu 4.04
Tl (0.5000, 0.5000, 0.3116)  4 Cu 3.03-3.05, 1 Tl 3.05
Tl (0.5000, 0.5000, 0.6884)  4 Cu 3.03-3.05, 1 Tl 3.05
Cu (0.0000, 0.0000, 0.5000)  8 Tl 3.03-3.05

Computed properties:
ΔH_f (0 K): -0.011 eV/atom

---

Compound: Ti2BeAl2
Source: the Alexandria database
Functional: PBE-GGA
Structure: relaxed

Cell lengths 6.2843, 6.2843, 4.1457 Å; angles 90.00, 90.00, 90.00 degrees
Closest atoms and distances in Å follow each position.
Fractional positions:
Ti (0.1498, 0.3502, 0.0000)  2 Be 2.39, 1 Ti 2.66
Ti (0.3502, 0.8502, 0.0000)  2 Be 2.39, 1 Ti 2.66
Ti (0.6498, 0.1498, 0.0000)  2 Be 2.39, 1 Ti 2.66
Ti (0.8502, 0.6498, 0.0000)  2 Be 2.39, 1 Ti 2.66
Be (0.0000, 0.0000, 0.0000)  4 Ti 2.39
Be (0.5000, 0.5000, 0.0000)  4 Ti 2.39
Al (0.1562, 0.6562, 0.5000)  6 Ti 2.70-2.83, 1 Al 2.78
Al (0.3438, 0.1562, 0.5000)  6 Ti 2.70-2.83, 1 Al 2.78
Al (0.6562, 0.8438, 0.5000)  6 Ti 2.70-2.83, 1 Al 2.78
Al (0.8438, 0.3438, 0.5000)  6 Ti 2.70-2.83, 1 Al 2.78

Computed properties:
ΔH_f (0 K): 0.087 eV/atom
Excess energy over the best structure of this formula in the dataset: 230.7 meV/atom

---

Compound: Tm3AlCo2Si6
Source: the Alexandria database
Functional: PBE-GGA
Structure: relaxed

Cell lengths 5.2714, 5.2714, 8.8552 Å; angles 90.00, 90.00, 120.00 degrees
Closest atoms and distances in Å follow each position.
Fractional positions:
Tm (0.0000, 0.0000, 0.0000)  6 Si 2.87, 6 Co 3.12
Tm (0.3333, 0.6667, 0.5801)  9 Si 2.95-3.11, 3 Al 3.13
Tm (0.6667, 0.3333, 0.4199)  9 Si 2.95-3.11, 3 Al 3.13
Al (0.0000, 0.0000, 0.5000)  6 Si 2.56
Co (0.3333, 0.6667, 0.0786)  3 Si 2.26
Co (0.6667, 0.3333, 0.9214)  3 Si 2.26
Si (0.1714, 0.3428, 0.2714)  1 Co 2.26
Si (0.1714, 0.8286, 0.2714)  1 Co 2.26
Si (0.3428, 0.1714, 0.7286)  1 Co 2.26
Si (0.6572, 0.8286, 0.2714)  1 Co 2.26
Si (0.8286, 0.1714, 0.7286)  1 Co 2.26
Si (0.8286, 0.6572, 0.7286)  1 Co 2.26

Computed properties:
ΔE_f (raw): -227 meV/atom

---

Compound: HgP2Ru
Source: the Alexandria database
Functional: PBE-GGA
Structure: relaxed

Cell lengths 5.1377, 5.1377, 5.1377 Å; angles 144.83, 123.01, 68.76 degrees
Closest atoms and distances in Å follow each position.
Fractional positions:
Hg (0.0000, 0.0000, 0.0000)  8 P 2.85-3.07, 4 Ru 2.95-3.00, 2 Hg 3.10
P (0.2825, 0.7825, 0.5000)  2 P 2.39
P (0.4971, 0.4971, 0.0000)  2 Ru 2.35, 2 P 2.39
Ru (0.7045, 0.2045, 0.5000)  2 P 2.35

Computed properties:
ΔH_f (0 K): 0.457 eV/atom

---

Compound: BeBrF2
Source: the Alexandria database
Functional: PBE-GGA
Structure: relaxed

Cell lengths 4.2312, 4.2312, 4.2312 Å; angles 60.00, 60.00, 60.00 degrees
Closest atoms and distances in Å follow each position.
Fractional positions:
Be (0.0000, 0.0000, 0.0000)  8 F 2.59
Br (0.5000, 0.5000, 0.5000)  8 F 2.59
F (0.2500, 0.2500, 0.2500)  4 Br 2.59, 4 Be 2.59
F (0.7500, 0.7500, 0.7500)  4 Br 2.59, 4 Be 2.59

Computed properties:
ΔE_f (raw): -192 meV/atom
Excess energy over the best structure of this formula in the dataset: 1887.6 meV/atom

---

Compound: P2RuNO
Source: the Alexandria database
Functional: PBE-GGA
Structure: relaxed

Cell lengths 3.9785, 4.1986, 4.8219 Å; angles 72.61, 73.17, 65.84 degrees
Closest atoms and distances in Å follow each position.
Fractional positions:
P (0.0000, 0.0000, 0.0000)  1 N 1.65, 1 O 1.75
P (0.1960, 0.2471, 0.2641)  1 O 1.67, 1 N 1.69
Ru (0.7745, 0.4340, 0.6492)  2 P 2.16-2.21, 1 N 2.17, 1 O 2.31
N (0.2747, 0.5826, 0.9858)  2 P 1.65-1.69
O (0.6265, 0.9441, 0.2850)  2 P 1.67-1.75

Computed properties:
ΔE_f (raw): -325 meV/atom
Excess energy over the best structure of this formula in the dataset: 271.7 meV/atom

---

Compound: Cs2InPtRh
Source: the Alexandria database
Functional: PBE-GGA
Structure: relaxed

Cell lengths 6.9711, 6.9711, 4.9768 Å; angles 90.00, 90.00, 90.00 degrees
Closest atoms and distances in Å follow each position.
Fractional positions:
Cs (0.0000, 0.5000, 0.0000)  2 In 3.49
Cs (0.5000, 0.0000, 0.0000)  2 In 3.49
In (0.0000, 0.0000, 0.0000)  2 Rh 2.49
Pt (0.5000, 0.5000, 0.5000)  8 Cs 4.28
Rh (0.0000, 0.0000, 0.5000)  2 In 2.49

Computed properties:
ΔH_f (0 K): 0.867 eV/atom

---

Compound: GaB2As
Source: the Alexandria database
Functional: PBE-GGA
Structure: relaxed

Cell lengths 5.5163, 5.5163, 4.3683 Å; angles 96.31, 96.31, 118.03 degrees
Closest atoms and distances in Å follow each position.
Fractional positions:
Ga (0.1977, 0.8023, 0.0000)  2 B 2.31
Ga (0.8023, 0.1977, 0.0000)  2 B 2.31
B (0.1714, 0.5453, 0.5298)  2 B 1.68-1.69
B (0.4547, 0.8286, 0.4702)  2 B 1.68-1.69
B (0.5453, 0.1714, 0.5298)  2 B 1.68-1.69
B (0.8286, 0.4547, 0.4702)  2 B 1.68-1.69
As (0.2117, 0.2117, 0.6660)  2 B 2.09
As (0.7883, 0.7883, 0.3340)  2 B 2.09

Computed properties:
ΔH_f (0 K): 0.304 eV/atom
Excess energy over the best structure of this formula in the dataset: 89.3 meV/atom

---

Compound: Pr8Os3SBr4
Source: the Alexandria database
Functional: PBE-GGA
Structure: relaxed

Cell lengths 9.1675, 9.1675, 9.1675 Å; angles 54.60, 54.60, 54.60 degrees
Closest atoms and distances in Å follow each position.
Fractional positions:
Pr (0.2188, 0.7382, 0.7382)  2 Os 2.82, 1 S 2.94
Pr (0.2338, 0.2338, 0.2338)  3 Os 2.89
Pr (0.2618, 0.2618, 0.7812)  2 Os 2.82, 1 S 2.94
Pr (0.2618, 0.7812, 0.2618)  2 Os 2.82, 1 S 2.94
Pr (0.7382, 0.2188, 0.7382)  2 Os 2.82, 1 S 2.94
Pr (0.7382, 0.7382, 0.2188)  2 Os 2.82, 1 S 2.94
Pr (0.7662, 0.7662, 0.7662)  3 Os 2.89
Pr (0.7812, 0.2618, 0.2618)  2 Os 2.82, 1 S 2.94
Os (0.0000, 0.0000, 0.5000)  6 Pr 2.82-2.89
Os (0.0000, 0.5000, 0.0000)  6 Pr 2.82-2.89
Os (0.5000, 0.0000, 0.0000)  6 Pr 2.82-2.89
S (0.5000, 0.5000, 0.5000)  6 Pr 2.94
Br (0.0000, 0.0000, 0.0000)  6 Pr 3.33
Br (0.0000, 0.5000, 0.5000)  6 Pr 3.36-3.43
Br (0.5000, 0.0000, 0.5000)  6 Pr 3.36-3.43
Br (0.5000, 0.5000, 0.0000)  6 Pr 3.36-3.43

Computed properties:
ΔE_f (raw): -905 meV/atom